Pr7DyEr3: relaxed, PBE.

Cell and atoms, written as extended XYZ:
```
11
Lattice="-2.9717 5.6946 5.7459 2.9717 -5.6946 5.7459 2.9717 5.6946 -5.7459" Properties=species:S:1:pos:R:3 pbc="T T T"
Pr 0.0000 0.0000 0.0000
Pr 2.9717 -2.1794 3.3165
Pr 2.9717 3.3244 0.0000
Pr 2.9717 2.1794 3.3165
Pr 0.0000 3.5152 2.4294
Pr 0.0000 2.3701 5.7459
Pr 0.0000 7.8739 2.4294
Dy 2.9717 0.0000 0.0000
Er 0.0000 0.0000 3.3947
Er 0.0000 5.6946 0.0000
Er 0.0000 0.0000 8.0970
```

Formation energy in eV per atom: 0.22
E above lowest polymorph in kJ/mol of atoms: 8.4
Mass density in g/cm3: 7.05
DOS at the Fermi energy in states/eV/f.u.: 13.9
Uncorrected energy in eV per atom: -4.484



MnPOs2: relaxed, PBE.

Cell and atoms, written as extended XYZ:
```
4
Lattice="-1.4028 2.0974 4.2945 1.4028 -2.0974 4.2945 1.4028 2.0974 -4.2945" Properties=species:S:1:pos:R:3 pbc="T T T"
Mn 0.0000 0.0000 0.0000
P 1.4028 0.0000 1.7690
Os 0.0000 0.0000 3.7135
Os 0.0000 2.0974 1.8347
```

Formation energy in eV per atom: -0.03
Mass density in g/cm3: 15.32
DOS at the Fermi energy in states/eV/f.u.: 3.0
Uncorrected energy in eV per atom: -9.287



HgAuCl3: relaxed, PBE.

Cell and atoms, written as extended XYZ:
```
20
Lattice="8.6894 0.0000 0.0000 0.0000 6.3027 0.0000 -1.3329 0.0000 11.7666" Properties=species:S:1:pos:R:3 pbc="T T T"
Hg 1.1376 0.4443 5.7373
Hg 0.4712 2.7071 11.6206
Hg 6.8853 3.5956 0.1460
Hg 6.2189 5.8584 6.0292
Au 2.8351 4.3949 6.7120
Au 3.5016 5.0592 0.8287
Au 3.8549 1.2435 10.9379
Au 4.5214 1.9078 5.0546
Cl -0.2805 0.0795 7.6822
Cl 0.3860 3.0718 1.7989
Cl 1.1159 3.2557 5.7208
Cl 0.4495 6.1983 11.6041
Cl 2.9309 0.5957 3.9829
Cl 2.2645 2.5557 9.8662
Cl 5.0920 3.7471 1.9004
Cl 4.4256 5.7070 7.7837
Cl 6.9070 0.1044 0.1624
Cl 6.2406 3.0470 6.0457
Cl 6.9705 3.2309 9.9677
Cl 7.6370 6.2232 4.0844
```

E above lowest polymorph in kJ/mol of atoms: 0.0
Mass density in g/cm3: 5.19
DOS at the Fermi energy in states/eV/f.u.: 0.0
Formation energy without anion corrections in eV per atom: -0.3935
Uncorrected energy in eV per atom: -2.217



ZrAlCu: relaxed, PBE.

Cell and atoms, written as extended XYZ:
```
6
Lattice="-1.9361 2.7200 4.8914 1.9361 -2.7200 4.8914 1.9361 2.7200 -4.8914" Properties=species:S:1:pos:R:3 pbc="T T T"
Zr 0.0000 0.0000 1.9102
Zr 0.0000 0.0000 7.8725
Al 1.9361 1.3396 0.0000
Al 0.0000 1.3804 4.8914
Cu 1.9361 0.0000 3.7352
Cu 0.0000 2.7200 1.1562
```

Formation energy in eV per atom: -0.33
Mass density in g/cm3: 5.86
DOS at the Fermi energy in states/eV/f.u.: 2.1
Uncorrected energy in eV per atom: -5.796